The following is a PBE with a Hubbard U calculation of a geometry-optimized CrOF structure, from the Alexandria database.

a = 5.142 Å, b = 4.600 Å, c = 5.606 Å
α = 90.00°, β = 91.61°, γ = 90.00°
Positions (direct):
Cr: 0.226 0.017 0.350
Cr: 0.226 0.483 0.850
Cr: 0.774 0.517 0.150
Cr: 0.774 0.983 0.650
O: 0.077 0.225 0.613
O: 0.077 0.275 0.113
O: 0.923 0.725 0.887
O: 0.923 0.775 0.387
F: 0.421 0.740 0.113
F: 0.421 0.760 0.613
F: 0.579 0.240 0.387
F: 0.579 0.260 0.887

Output
As for the total energy: -7.01 eV per atom. As for the symmetry: No. 14.